[1]
DFT (PBEsol) results for an optimized crystal structure of YSc2.

The space group is P-62m (No. 189) and the conventional cell measures 8.9801, 8.9801 and 3.3108 Å, with angles of 90.00, 90.00 and 120.00 degrees. The asymmetric unit holds Y at (0.0000, 0.0000, 0.0000), Y at (0.3333, 0.6667, 0.5000), Sc at (0.0000, 0.3567, 0.0000) and Sc at (0.0000, 0.6900, 0.5000).

Its total DFT energy (no corrections) is -6.60 eV per atom. For the polymorph energy (0 for the lowest one), the calculation gives 54 meV per atom. Its crystal system is hexagonal. The magnetic moment comes out at 0.105 μB per atom. The formation energy from the elements is 0.076 eV/atom.

[2]
DFT (PBEsol) results for an optimized crystal structure of TlRe2.

The space group is Immm (No. 71) and the conventional cell measures 2.929, 3.801 and 8.979 Å, with angles of 90.00, 90.00 and 90.00 degrees. The asymmetric unit holds Tl at (0.000, 0.000, 0.000) and Re at (0.000, 0.000, 0.315).

Its total DFT energy (no corrections) is -8.96 eV per atom. For the polymorph energy (0 for the lowest one), the calculation gives 219 meV per atom. Its crystal system is orthorhombic. The magnetic moment comes out at 0.000 μB per atom. The formation energy from the elements is 0.807 eV/atom.

[3]
DFT (PBEsol) results for an optimized crystal structure of Be2TePt2.

The space group is P4/mbm (No. 127) and the conventional cell measures 7.157, 7.157 and 2.789 Å, with angles of 90.00, 90.00 and 90.00 degrees. The asymmetric unit holds Be at (0.129, 0.371, 0.000), Te at (0.000, 0.000, 0.000) and Pt at (0.147, 0.647, 0.500).

Its total DFT energy (no corrections) is -5.28 eV per atom. The calculation puts the raw formation energy at -0.188 eV per atom. Its crystal system is tetragonal. The magnetic moment comes out at 0.000 μB per atom.

[4]
DFT (PBEsol) results for an optimized crystal structure of Zn8Cd.

The space group is I4/mmm (No. 139) and the conventional cell measures 8.309, 8.309 and 3.902 Å, with angles of 90.00, 90.00 and 90.00 degrees. The asymmetric unit holds Zn at (0.000, 0.340, 0.000), Zn at (0.174, 0.174, 0.500) and Cd at (0.000, 0.000, 0.000).

Its total DFT energy (no corrections) is -1.49 eV per atom. Its crystal system is tetragonal. The magnetic moment comes out at 0.000 μB per atom. The formation energy from the elements is 0.050 eV/atom.

[5]
DFT (PBEsol) results for an optimized crystal structure of AsPdSe2Br.

The space group is P4/mmm (No. 123) and the conventional cell measures 4.862, 4.862 and 4.864 Å, with angles of 90.00, 90.00 and 90.00 degrees. The asymmetric unit holds As at (0.000, 0.000, 0.000), Pd at (0.500, 0.500, 0.500), Se at (0.000, 0.500, 0.500) and Br at (0.500, 0.500, 0.000).

Its total DFT energy (no corrections) is -3.67 eV per atom. The calculation puts the raw formation energy at 0.454 eV per atom. Its crystal system is tetragonal. The magnetic moment comes out at 0.000 μB per atom.

[6]
DFT (PBEsol) results for an optimized crystal structure of MgB2N2.

The space group is P4/mbm (No. 127) and the conventional cell measures 5.961, 5.961 and 2.625 Å, with angles of 90.00, 90.00 and 90.00 degrees. The asymmetric unit holds Mg at (0.000, 0.000, 0.000), B at (0.104, 0.396, 0.500) and N at (0.178, 0.322, 0.000).

Its total DFT energy (no corrections) is -7.00 eV per atom. The calculation puts the raw formation energy at -0.435 eV per atom. Its crystal system is tetragonal. The magnetic moment comes out at 0.000 μB per atom.